10
Lattice="-1.188 0.227 3.368 -2.270 -2.487 -0.633 10.616 -9.906 0.848" Properties=species:S:1:pos:R:3 comment="CsHfH3, optimized geometry, DFT PBE-GGA" space_group="Cm, No. 8" pbc="T T T"
Cs 3.668 -3.920 2.247
Cs 7.840 -10.116 2.354
Hf 6.188 -6.521 3.430
Hf -0.255 -2.812 2.689
H 0.199 -0.879 2.737
H 4.372 -7.075 2.845
H 7.469 -7.827 3.969
H 1.025 -4.118 3.229
H 7.275 -7.138 1.953
H 0.832 -3.428 1.213

=====

10
Lattice="7.020 0.000 -0.001 0.000 4.146 0.000 -0.047 0.000 5.255" Properties=species:S:1:pos:R:3 comment="CsHfH3, optimized geometry, DFT PBE-GGA" space_group="Cm, No. 8" pbc="T T T"
Cs 1.712 0.000 4.550
Cs 1.735 2.073 1.923
Hf 5.306 0.000 1.865
Hf 5.283 2.073 4.493
H 4.508 0.000 5.163
H 4.531 2.073 2.535
H 6.399 3.096 0.599
H 6.399 1.049 0.599
H 6.375 1.023 3.227
H 6.375 3.122 3.227

=====

10
Lattice="7.058 0.000 0.000 0.000 3.422 0.000 0.000 0.000 5.934" Properties=species:S:1:pos:R:3 comment="CsHfH3, optimized geometry, DFT PBE-GGA" space_group="Amm2, No. 38" pbc="T T T"
Cs 3.529 0.000 5.548
Cs 3.529 1.711 2.581
Hf 0.000 0.000 1.582
Hf 0.000 1.711 4.549
H 6.008 0.000 3.556
H 1.050 0.000 3.556
H 6.008 1.711 0.589
H 1.050 1.711 0.589
H 0.000 0.000 5.538
H 0.000 1.711 2.571

=====

10
Lattice="-5.312 -4.428 3.168 0.250 -2.205 -2.663 5.202 -2.042 2.180" Properties=species:S:1:pos:R:3 comment="CsHfH3, optimized geometry, DFT PBE-GGA" space_group="Cm, No. 8" pbc="T T T"
Cs 1.714 -1.669 1.543
Cs 4.440 -3.793 1.302
Hf -1.789 -3.480 2.714
Hf 0.938 -5.603 2.472
H 0.210 -3.790 3.158
H -2.266 -3.871 0.737
H -3.836 -3.240 2.322
H -1.110 -5.363 2.081
H -0.872 -2.186 1.728
H 1.855 -4.309 1.487

=====

It is found that the calculated total energy values, taken in the order of the records, are -41.2 -41.3 -41.7 -42.6 eV/cell.
It is found that the relative energy among the computed polymorphs values, taken in the order of the records, are 141 129 94 0 meV/atom.